This record from the Alexandria database describes a geometry-optimized HgW2O structure. The functional is PBE+U.

- E above lowest polymorph: 0 meV per atom
- Magnetic moment: 7.53 μB/f.u.
- DOS at the Fermi energy: 3.65 states/eV per cell
- Energy: -4.285 eV/atom

Lattice parameters (Å, degrees): 5.5634 5.5634 7.4528 68.08 68.08 90.00
Each line ends with the local moment (μB).
Sites, in units of the cell vectors:
O (0.5000, 0.5000, 0.0000)  0.05
O (0.2500, 0.7500, 0.5000)  0.04
Hg (0.0000, 0.0000, 0.0000)  0.04
Hg (0.7500, 0.2500, 0.5000)  0.04
W (0.4527, 0.1250, 0.2500)  3.12
W (0.2973, 0.6250, 0.2500)  3.12
W (0.3750, 0.5473, 0.7500)  3.11
W (0.8750, 0.7027, 0.7500)  3.09